# PBE-GGA Ho12PdAu6, relaxed
# Energy relative to the elements = -0.4955 eV per atom
data_Ho12PdAu6
_symmetry_space_group_name_H-M 'R -3'
_symmetry_Int_Tables_number 148
_symmetry_space_group_name_Hall '-R 3'
_cell_length_a 12.7173
_cell_length_b 12.7173
_cell_length_c 11.9207
_cell_angle_alpha 90.00
_cell_angle_beta 90.00
_cell_angle_gamma 120.00
loop_
_atom_site_label
_atom_site_type_symbol
_atom_site_fract_x
_atom_site_fract_y
_atom_site_fract_z
Ho1 Ho 0.0320 0.8165 0.3957
Ho2 Ho 0.0453 0.8376 0.8866
Pd1 Pd 0.0000 0.0000 0.0000
Au1 Au 0.0485 0.7818 0.6478

# PBE-GGA Ho3PdAu2, relaxed
# Energy relative to the elements = -0.8811 eV per atom
data_Ho3PdAu2
_symmetry_space_group_name_H-M 'P 4/m m m'
_symmetry_Int_Tables_number 123
_symmetry_space_group_name_Hall '-P 4 2'
_cell_length_a 3.5452
_cell_length_b 3.5452
_cell_length_c 10.7305
_cell_angle_alpha 90.00
_cell_angle_beta 90.00
_cell_angle_gamma 90.00
loop_
_atom_site_label
_atom_site_type_symbol
_atom_site_fract_x
_atom_site_fract_y
_atom_site_fract_z
Ho1 Ho 0.0000 0.0000 0.0000
Ho2 Ho 0.0000 0.0000 0.3389
Pd1 Pd 0.5000 0.5000 0.5000
Au1 Au 0.5000 0.5000 0.1693

# PBE-GGA Ho2Pd3Au2, relaxed
# Energy relative to the elements = -0.6962 eV per atom
# Polymorph energy (0 for the lowest one) = 0.0 meV per atom
data_Ho2Pd3Au2
_symmetry_space_group_name_H-M 'C 1 2/m 1'
_symmetry_Int_Tables_number 12
_symmetry_space_group_name_Hall '-C 2y'
_cell_length_a 9.7417
_cell_length_b 4.0841
_cell_length_c 8.3147
_cell_angle_alpha 90.00
_cell_angle_beta 119.99
_cell_angle_gamma 90.00
loop_
_atom_site_label
_atom_site_type_symbol
_atom_site_fract_x
_atom_site_fract_y
_atom_site_fract_z
Ho1 Ho 0.2022 0.0000 0.2744
Pd1 Pd 0.0000 0.5000 0.0000
Pd2 Pd 0.0353 0.5000 0.3588
Au1 Au 0.1538 0.0000 0.8771

# PBE-GGA HoPd4Au7, relaxed
# Energy relative to the elements = -0.0735 eV per atom
# Polymorph energy (0 for the lowest one) = 244.7 meV per atom
data_HoPd4Au7
_symmetry_space_group_name_H-M 'C 1 2/m 1'
_symmetry_Int_Tables_number 12
_symmetry_space_group_name_Hall '-C 2y'
_cell_length_a 11.1438
_cell_length_b 5.1170
_cell_length_c 9.7882
_cell_angle_alpha 90.00
_cell_angle_beta 122.94
_cell_angle_gamma 90.00
loop_
_atom_site_label
_atom_site_type_symbol
_atom_site_fract_x
_atom_site_fract_y
_atom_site_fract_z
Ho1 Ho 0.0000 0.0000 0.0000
Pd1 Pd 0.0707 0.5000 0.7743
Pd2 Pd 0.2172 0.5000 0.3239
Au1 Au 0.0000 0.5000 0.0000
Au2 Au 0.0663 0.0000 0.3489
Au3 Au 0.1477 0.5000 0.5562
Au4 Au 0.2106 0.0000 0.9072

# PBE-GGA HoPdAu4, relaxed
# Energy relative to the elements = -0.5121 eV per atom
# Polymorph energy (0 for the lowest one) = 0.0 meV per atom
data_HoPdAu4
_symmetry_space_group_name_H-M 'P -1'
_symmetry_Int_Tables_number 2
_symmetry_space_group_name_Hall '-P 1'
_cell_length_a 5.2990
_cell_length_b 5.5006
_cell_length_c 8.2053
_cell_angle_alpha 76.47
_cell_angle_beta 89.90
_cell_angle_gamma 89.24
loop_
_atom_site_label
_atom_site_type_symbol
_atom_site_fract_x
_atom_site_fract_y
_atom_site_fract_z
Ho1 Ho 0.1065 0.2340 0.2545
Pd1 Pd 0.4336 0.9643 0.8222
Au1 Au 0.1247 0.2923 0.6020
Au2 Au 0.1372 0.7784 0.0919
Au3 Au 0.3558 0.4412 0.8764
Au4 Au 0.3731 0.7739 0.5183

# PBE-GGA HoPdAu4, relaxed
# Energy relative to the elements = -0.4408 eV per atom
# Polymorph energy (0 for the lowest one) = 71.2 meV per atom
data_HoPdAu4
_symmetry_space_group_name_H-M 'F -4 3 m'
_symmetry_Int_Tables_number 216
_symmetry_space_group_name_Hall 'F -4 2 3'
_cell_length_a 7.7558
_cell_length_b 7.7558
_cell_length_c 7.7558
_cell_angle_alpha 90.00
_cell_angle_beta 90.00
_cell_angle_gamma 90.00
loop_
_atom_site_label
_atom_site_type_symbol
_atom_site_fract_x
_atom_site_fract_y
_atom_site_fract_z
Ho1 Ho 0.0000 0.0000 0.0000
Pd1 Pd 0.2500 0.2500 0.2500
Au1 Au 0.1247 0.1247 0.6247

# PBE-GGA HoPd7Au3, relaxed
# Energy relative to the elements = -0.2746 eV per atom
data_HoPd7Au3
_symmetry_space_group_name_H-M 'P 3 m 1'
_symmetry_Int_Tables_number 156
_symmetry_space_group_name_Hall 'P 3 -2"'
_cell_length_a 5.6806
_cell_length_b 5.6806
_cell_length_c 7.0124
_cell_angle_alpha 90.00
_cell_angle_beta 90.00
_cell_angle_gamma 120.00
loop_
_atom_site_label
_atom_site_type_symbol
_atom_site_fract_x
_atom_site_fract_y
_atom_site_fract_z
Ho1 Ho 0.0000 0.0000 0.0000
Pd1 Pd 0.3333 0.6667 0.7016
Pd2 Pd 0.3424 0.1712 0.6838
Pd3 Pd 0.5016 0.0033 0.0240
Au1 Au 0.1677 0.3355 0.3595

# PBE-GGA HoPd4Au2, relaxed
# Energy relative to the elements = -0.4960 eV per atom
# Polymorph energy (0 for the lowest one) = 0.0 meV per atom
data_HoPd4Au2
_symmetry_space_group_name_H-M 'P 1'
_symmetry_Int_Tables_number 1
_symmetry_space_group_name_Hall 'P 1'
_cell_length_a 5.7895
_cell_length_b 7.2923
_cell_length_c 7.3794
_cell_angle_alpha 118.15
_cell_angle_beta 112.03
_cell_angle_gamma 91.24
loop_
_atom_site_label
_atom_site_type_symbol
_atom_site_fract_x
_atom_site_fract_y
_atom_site_fract_z
Ho1 Ho 0.0000 0.0000 0.0000
Ho2 Ho 0.2598 0.6633 0.5224
Pd1 Pd 0.2822 0.3821 0.0766
Pd2 Pd 0.4341 0.5719 0.8566
Pd3 Pd 0.4668 0.2890 0.4363
Pd4 Pd 0.5079 0.0153 0.0166
Pd5 Pd 0.8217 0.0997 0.6557
Pd6 Pd 0.8824 0.8353 0.2546
Pd7 Pd 0.9293 0.5592 0.8436
Pd8 Pd 0.9601 0.2864 0.4320
Au1 Au 0.3185 0.1169 0.6640
Au2 Au 0.3803 0.8340 0.2524
Au3 Au 0.7454 0.6532 0.4924
Au4 Au 0.7844 0.3828 0.0705

# PBE-GGA HoPd6Au12, relaxed
# Energy relative to the elements = -0.1185 eV per atom
data_HoPd6Au12
_symmetry_space_group_name_H-M 'R -3 m'
_symmetry_Int_Tables_number 166
_symmetry_space_group_name_Hall '-R 3 2"'
_cell_length_a 11.3304
_cell_length_b 11.3304
_cell_length_c 9.3603
_cell_angle_alpha 90.00
_cell_angle_beta 90.00
_cell_angle_gamma 120.00
loop_
_atom_site_label
_atom_site_type_symbol
_atom_site_fract_x
_atom_site_fract_y
_atom_site_fract_z
Ho1 Ho 0.0000 0.0000 0.0000
Pd1 Pd 0.0847 0.1694 0.7499
Au1 Au 0.0000 0.2626 0.0000
Au2 Au 0.0728 0.5364 0.1194

# PBE-GGA HoPd3Au, relaxed
# Energy relative to the elements = -0.5671 eV per atom
# Polymorph energy (0 for the lowest one) = 74.7 meV per atom
data_HoPd3Au
_symmetry_space_group_name_H-M 'P m m n'
_symmetry_Int_Tables_number 59
_cell_length_a 4.4825
_cell_length_b 5.9385
_cell_length_c 7.0828
_cell_angle_alpha 90.00
_cell_angle_beta 90.00
_cell_angle_gamma 90.00
loop_
_symmetry_equiv_pos_as_xyz
'x,y,z'
'-x,-y,-z'
'-x+1/2,-y+1/2,z'
'x+1/2,y+1/2,-z'
'x+1/2,-y,-z'
'-x+1/2,y,z'
'-x,y+1/2,-z'
'x,-y+1/2,z'
loop_
_atom_site_label
_atom_site_type_symbol
_atom_site_fract_x
_atom_site_fract_y
_atom_site_fract_z
Ho1 Ho 0.2500 0.2500 0.1991
Pd1 Pd 0.2500 0.0284 0.7539
Pd2 Pd 0.2500 0.7500 0.0695
Au1 Au 0.2500 0.7500 0.4475

# PBE-GGA HoPd4Au7, relaxed
# Energy relative to the elements = -0.3183 eV per atom
# Polymorph energy (0 for the lowest one) = 0.0 meV per atom
data_HoPd4Au7
_symmetry_space_group_name_H-M 'P -1'
_symmetry_Int_Tables_number 2
_symmetry_space_group_name_Hall '-P 1'
_cell_length_a 5.8776
_cell_length_b 6.4632
_cell_length_c 6.5430
_cell_angle_alpha 72.11
_cell_angle_beta 64.24
_cell_angle_gamma 76.86
loop_
_atom_site_label
_atom_site_type_symbol
_atom_site_fract_x
_atom_site_fract_y
_atom_site_fract_z
Ho1 Ho 0.0000 0.0000 0.0000
Pd1 Pd 0.1650 0.6741 0.3345
Pd2 Pd 0.4151 0.6651 0.8347
Au1 Au 0.0880 0.3458 0.1707
Au2 Au 0.2523 0.0003 0.4967
Au3 Au 0.3360 0.3366 0.6625
Au4 Au 0.5000 0.0000 0.0000

# PBE-GGA HoPdAu4, relaxed
# Energy relative to the elements = -0.4489 eV per atom
# Polymorph energy (0 for the lowest one) = 63.2 meV per atom
data_HoPdAu4
_symmetry_space_group_name_H-M 'P 1 2/m 1'
_symmetry_Int_Tables_number 10
_symmetry_space_group_name_Hall '-P 2y'
_cell_length_a 3.5416
_cell_length_b 3.7426
_cell_length_c 8.6515
_cell_angle_alpha 90.00
_cell_angle_beta 90.18
_cell_angle_gamma 90.00
loop_
_atom_site_label
_atom_site_type_symbol
_atom_site_fract_x
_atom_site_fract_y
_atom_site_fract_z
Ho1 Ho 0.0000 0.0000 0.0000
Pd1 Pd 0.5000 0.5000 0.5000
Au1 Au 0.0012 0.0000 0.3389
Au2 Au 0.4988 0.5000 0.8229

Calculated density: 9.75; 12.25; 12.09; 13.96; 15.13; 15.08; 12.72; 13.24; 15.16; 12.00; 15.44; 15.34 (g/cm³)